No. 1
This record from Alexandria describes a relaxed LiTa2As crystal. The functional is PBE. Values from VASP.

- Energy: -0.5369 Ry/atom

Cell and atoms, written as Quantum ESPRESSO input:
```
&SYSTEM
  ibrav = 0, nat = 4, ntyp = 3
/
ATOMIC_SPECIES
As 74.92 As.upf
Li 6.94 Li.upf
Ta 180.95 Ta.upf
ATOMIC_POSITIONS angstrom
As 1.0138 1.4156 2.0920
Li 1.0138 1.4156 6.2760
Ta 0.0000 0.0000 0.1340
Ta 0.0000 0.0000 4.0501
CELL_PARAMETERS angstrom
2.9411 0.0353 0.0000
-0.9136 2.7959 0.0000
0.0000 0.0000 8.3680
```

=====

No. 2
This record from Alexandria describes a relaxed BaBe2Cd crystal. The functional is PBE. Values from VASP.

- Energy: -0.1546 Ry/atom

Cell and atoms, written as Quantum ESPRESSO input:
```
&SYSTEM
  ibrav = 0, nat = 4, ntyp = 3
/
ATOMIC_SPECIES
Be 9.01 Be.upf
Ba 137.33 Ba.upf
Cd 112.41 Cd.upf
ATOMIC_POSITIONS angstrom
Be -1.0005 -3.7062 5.2440
Be -0.6722 -2.4901 3.5233
Ba 1.7784 -1.9356 1.2156
Cd 0.8955 1.1604 3.2353
CELL_PARAMETERS angstrom
-1.4405 1.0306 4.9421
0.3254 -5.1614 0.9028
3.7891 3.3557 -1.3940
```

=====

| no. | total magnetic moment (μB per atom) | E_form (eV/f.u.) | ρ (g cm⁻³) |
| --- | --- | --- | --- |
| 1 | 0.00 | 1.05 | 10.67 |
| 2 | 0.00 | 1.88 | 4.44 |